[1]
PBE-GGA In5Ga2Bi2, relaxed; VASP energy = -3.01 eV/atom; space-group type = Cmce (64)
1.0
-2.499 7.184 -0.787
-7.350 -2.517 0.368
-1.156 4.529 7.868
Bi Ga In
4 4 10
direct
0.713 0.500 0.573
0.787 0.000 0.427
0.287 0.500 0.427
0.213 0.000 0.573
0.377 0.874 0.000
0.623 0.126 0.000
0.877 0.626 0.000
0.123 0.374 0.000
0.500 0.500 0.000
0.000 0.000 0.000
0.202 0.174 0.249
0.702 0.326 0.249
0.798 0.826 0.751
0.951 0.326 0.751
0.549 0.826 0.249
0.049 0.674 0.249
0.298 0.674 0.751
0.451 0.174 0.751

[2]
PBE-GGA InGa2Bi2, relaxed; space-group type = P4/mbm (127); E above lowest polymorph = 0.04 eV/f.u.
1.0
-2.164 8.733 0.049
-8.664 -2.141 -1.135
-0.415 -0.122 3.399
Bi Ga In
4 4 2
direct
0.658 0.158 0.000
0.842 0.658 0.000
0.342 0.842 0.000
0.158 0.342 0.000
0.638 0.862 0.500
0.138 0.638 0.500
0.862 0.362 0.500
0.362 0.138 0.500
0.500 0.500 0.000
0.000 0.000 0.000

[3]
PBE-GGA InGaBi, relaxed; space-group type = P1 (1); E above lowest polymorph = 0.06 eV/f.u.
1.0
-1.236 1.495 2.652
3.372 -3.695 3.471
5.549 6.231 -2.704
In Bi Ga
2 2 2
direct
0.126 0.057 0.348
0.482 0.704 0.998
0.265 0.605 0.598
0.347 0.158 0.748
0.095 0.552 0.250
0.512 0.210 0.096

[4]
PBE-GGA InGaBi, relaxed; space-group type = Cm (8); E above lowest polymorph = 0.14 eV/f.u.
1.0
-3.316 0.131 -0.674
-2.111 -2.280 1.347
-3.557 3.970 6.856
Bi In Ga
1 1 1
direct
0.111 0.111 0.144
0.221 0.221 0.752
0.674 0.674 0.457